<i>
# PaMnW (GGA-PBE, optimized geometry)
# - magnetization (Bohr magnetons per cell) = 0.00
# - DOS at the Fermi energy (states/eV per atom) = 1.3529
data_PaMnW
_cell_length_a 3.000
_cell_length_b 3.000
_cell_length_c 11.602
_cell_angle_alpha 90.00
_cell_angle_beta 90.00
_cell_angle_gamma 90.00
_symmetry_space_group_name_H-M 'I 4 m m'
_symmetry_Int_Tables_number 107
_symmetry_space_group_name_Hall 'I 4 -2'
loop_
_atom_site_label
_atom_site_fract_x
_atom_site_fract_y
_atom_site_fract_z
_atom_site_occupancy
Pa1 0.000 0.000 0.000 1
Mn1 0.000 0.000 0.681 1
W1 0.000 0.000 0.295 1

<ii>
# PaMnW (GGA-PBE, optimized geometry)
# - magnetization (Bohr magnetons per cell) = 1.55
# - DOS at the Fermi energy (states/eV per atom) = 1.4603
data_PaMnW
_cell_length_a 4.5198
_cell_length_b 4.5198
_cell_length_c 2.9243
_cell_angle_alpha 90.00
_cell_angle_beta 90.00
_cell_angle_gamma 120.00
_symmetry_space_group_name_H-M 'P 3 m 1'
_symmetry_Int_Tables_number 156
loop_
_symmetry_equiv_pos_as_xyz
'x,y,z'
'-y,x-y,z'
'-x+y,-x,z'
'-y,-x,z'
'-x+y,y,z'
'x,x-y,z'
loop_
_atom_site_label
_atom_site_fract_x
_atom_site_fract_y
_atom_site_fract_z
_atom_site_occupancy
Pa1 0.0000 0.0000 0.0000 1
Mn1 0.6667 0.3333 0.7162 1
W1 0.3333 0.6667 0.3057 1

<iii>
# PaMnW (GGA-PBE, optimized geometry)
# - magnetization (Bohr magnetons per cell) = 3.04
# - DOS at the Fermi energy (states/eV per atom) = 1.2251
data_PaMnW
_cell_length_a 2.9429
_cell_length_b 2.9429
_cell_length_c 21.2214
_cell_angle_alpha 90.00
_cell_angle_beta 90.00
_cell_angle_gamma 120.00
_symmetry_space_group_name_H-M 'R 3 m'
_symmetry_Int_Tables_number 160
_symmetry_space_group_name_Hall 'R 3 -2"'
loop_
_atom_site_label
_atom_site_fract_x
_atom_site_fract_y
_atom_site_fract_z
_atom_site_occupancy
Pa1 0.0000 0.0000 0.0000 1
Mn1 0.0000 0.0000 0.1104 1
W1 0.0000 0.0000 0.8662 1

Most stable to least stable, the ends of the list are <i> and <iii>.

<i>
# PaMn2W (GGA-PBE, optimized geometry)
# - magnetization (Bohr magnetons per cell) = 10.03
# - DOS at the Fermi energy (states/eV per atom) = 1.2375
data_PaMn2W
_cell_length_a 2.9452
_cell_length_b 2.9452
_cell_length_c 26.5721
_cell_angle_alpha 90.00
_cell_angle_beta 90.00
_cell_angle_gamma 120.00
_symmetry_space_group_name_H-M 'R -3 m'
_symmetry_Int_Tables_number 166
_symmetry_space_group_name_Hall '-R 3 2"'
loop_
_atom_site_label
_atom_site_fract_x
_atom_site_fract_y
_atom_site_fract_z
_atom_site_occupancy
Pa1 0.0000 0.0000 0.0000 1
Mn1 0.0000 0.0000 0.2388 1
W1 0.0000 0.0000 0.5000 1

<ii>
# PaMn2W (GGA-PBE, optimized geometry)
# - magnetization (Bohr magnetons per cell) = 0.90
# - DOS at the Fermi energy (states/eV per atom) = 1.7154
data_PaMn2W
_cell_length_a 2.976
_cell_length_b 2.976
_cell_length_c 7.103
_cell_angle_alpha 90.00
_cell_angle_beta 90.00
_cell_angle_gamma 90.00
_symmetry_space_group_name_H-M 'P 4/m m m'
_symmetry_Int_Tables_number 123
_symmetry_space_group_name_Hall '-P 4 2'
loop_
_atom_site_label
_atom_site_fract_x
_atom_site_fract_y
_atom_site_fract_z
_atom_site_occupancy
Pa1 0.000 0.000 0.000 1
Mn1 0.500 0.500 0.297 1
W1 0.000 0.000 0.500 1

Most stable to least stable, the ends of the list are <ii> and <i>.

<i>
# YPaMn2 (GGA-PBE, optimized geometry)
# - magnetization (Bohr magnetons per cell) = 3.17
# - DOS at the Fermi energy (states/eV per atom) = 1.3729
data_YPaMn2
_cell_length_a 3.367
_cell_length_b 3.367
_cell_length_c 6.949
_cell_angle_alpha 90.00
_cell_angle_beta 90.00
_cell_angle_gamma 90.00
_symmetry_space_group_name_H-M 'P 4/m m m'
_symmetry_Int_Tables_number 123
_symmetry_space_group_name_Hall '-P 4 2'
loop_
_atom_site_label
_atom_site_fract_x
_atom_site_fract_y
_atom_site_fract_z
_atom_site_occupancy
Y1 0.000 0.000 0.000 1
Pa1 0.000 0.000 0.500 1
Mn1 0.500 0.500 0.298 1

<ii>
# YPaMn2 (GGA-PBE, optimized geometry)
# - magnetization (Bohr magnetons per cell) = 7.26
# - DOS at the Fermi energy (states/eV per atom) = 1.5378
data_YPaMn2
_cell_length_a 4.3226
_cell_length_b 4.3226
_cell_length_c 14.9309
_cell_angle_alpha 90.00
_cell_angle_beta 90.00
_cell_angle_gamma 120.00
_symmetry_space_group_name_H-M 'R -3 m'
_symmetry_Int_Tables_number 166
_symmetry_space_group_name_Hall '-R 3 2"'
loop_
_atom_site_label
_atom_site_fract_x
_atom_site_fract_y
_atom_site_fract_z
_atom_site_occupancy
Y1 0.0000 0.0000 0.0000 1
Pa1 0.0000 0.0000 0.5000 1
Mn1 0.0000 0.0000 0.2036 1

Most stable to least stable, the ends of the list are <ii> and <i>.

<i>
# Pa2MnZn (GGA-PBE, optimized geometry)
# - magnetization (Bohr magnetons per cell) = 0.00
# - DOS at the Fermi energy (states/eV per atom) = 1.2986
data_Pa2MnZn
_cell_length_a 3.050
_cell_length_b 3.050
_cell_length_c 8.384
_cell_angle_alpha 90.00
_cell_angle_beta 90.00
_cell_angle_gamma 90.00
_symmetry_space_group_name_H-M 'P 4/m m m'
_symmetry_Int_Tables_number 123
_symmetry_space_group_name_Hall '-P 4 2'
loop_
_atom_site_label
_atom_site_fract_x
_atom_site_fract_y
_atom_site_fract_z
_atom_site_occupancy
Pa1 0.000 0.000 0.216 1
Mn1 0.500 0.500 0.000 1
Zn1 0.500 0.500 0.500 1

<ii>
# Pa2MnZn (GGA-PBE, optimized geometry)
# - magnetization (Bohr magnetons per cell) = 0.00
# - DOS at the Fermi energy (states/eV per atom) = 1.8764
data_Pa2MnZn
_cell_length_a 3.6032
_cell_length_b 3.6032
_cell_length_c 27.7148
_cell_angle_alpha 90.00
_cell_angle_beta 90.00
_cell_angle_gamma 120.00
_symmetry_space_group_name_H-M 'R -3 m'
_symmetry_Int_Tables_number 166
_symmetry_space_group_name_Hall '-R 3 2"'
loop_
_atom_site_label
_atom_site_fract_x
_atom_site_fract_y
_atom_site_fract_z
_atom_site_occupancy
Pa1 0.0000 0.0000 0.1125 1
Mn1 0.0000 0.0000 0.5000 1
Zn1 0.0000 0.0000 0.0000 1

Most stable to least stable, the ends of the list are <i> and <ii>.